Material: Ce4In
Method: DFT, GGA-PBE
State: optimized geometry

Structure (CIF):
```
data_Ce4In
_chemical_formula_sum 'Ce8 In2'
_cell_length_a 6.291
_cell_length_b 6.291
_cell_length_c 7.809
_cell_angle_alpha 80.69
_cell_angle_beta 80.69
_cell_angle_gamma 63.00
_symmetry_space_group_name_H-M 'P 1'
_symmetry_Int_Tables_number 1
loop_
_symmetry_equiv_pos_as_xyz
'x,y,z'
loop_
_atom_site_label
_atom_site_type_symbol
_atom_site_fract_x
_atom_site_fract_y
_atom_site_fract_z
_atom_site_occupancy
Ce1 Ce 0.951 0.374 0.355 1
Ce2 Ce 0.935 0.935 0.172 1
Ce3 Ce 0.626 0.049 0.645 1
In1 In 0.336 0.336 0.995 1
Ce4 Ce 0.569 0.569 0.644 1
In2 In 0.664 0.664 0.005 1
Ce5 Ce 0.374 0.951 0.355 1
Ce6 Ce 0.049 0.626 0.645 1
Ce7 Ce 0.431 0.431 0.356 1
Ce8 Ce 0.065 0.065 0.828 1
```

## Properties
Space-group type: C2/m (12)
ΔE to the lowest computed polymorph: 153.6 meV per atom

***

Material: Tl4Hg8Sb
Method: DFT, GGA-PBE
State: optimized geometry

Structure (CIF):
```
data_Tl4Hg8Sb
_chemical_formula_sum 'Tl4 Hg8 Sb1'
_cell_length_a 5.678
_cell_length_b 4.723
_cell_length_c 14.846
_cell_angle_alpha 90.00
_cell_angle_beta 90.00
_cell_angle_gamma 90.00
_symmetry_space_group_name_H-M 'P 1'
_symmetry_Int_Tables_number 1
loop_
_symmetry_equiv_pos_as_xyz
'x,y,z'
loop_
_atom_site_label
_atom_site_type_symbol
_atom_site_fract_x
_atom_site_fract_y
_atom_site_fract_z
_atom_site_occupancy
Tl1 Tl 0.000 0.000 0.047 1
Hg1 Hg 0.500 0.500 0.082 1
Tl2 Tl 0.000 0.500 0.624 1
Hg2 Hg 0.000 0.500 0.182 1
Hg3 Hg 0.000 0.500 0.899 1
Hg4 Hg 0.000 0.000 0.490 1
Hg5 Hg 0.500 0.000 0.594 1
Tl3 Tl 0.500 0.500 0.418 1
Tl4 Tl 0.500 0.000 0.907 1
Hg6 Hg 0.500 0.500 0.747 1
Hg7 Hg 0.000 0.000 0.767 1
Sb1 Sb 0.000 0.000 0.295 1
Hg8 Hg 0.500 0.000 0.251 1
```

## Properties
Space-group type: Pmm2 (25)
ΔE_f (raw): 43 kJ/mol of formula units

***

Material: As2PbW
Method: DFT, GGA-PBE
State: optimized geometry

Structure (CIF):
```
data_As2PbW
_chemical_formula_sum 'As2 Pb1 W1'
_cell_length_a 3.238
_cell_length_b 3.239
_cell_length_c 7.715
_cell_angle_alpha 90.00
_cell_angle_beta 90.00
_cell_angle_gamma 90.00
_symmetry_space_group_name_H-M 'P 1'
_symmetry_Int_Tables_number 1
loop_
_symmetry_equiv_pos_as_xyz
'x,y,z'
loop_
_atom_site_label
_atom_site_type_symbol
_atom_site_fract_x
_atom_site_fract_y
_atom_site_fract_z
_atom_site_occupancy
W1 W 0.500 0.500 0.750 1
As1 As 0.000 0.000 0.563 1
As2 As 0.000 0.000 0.937 1
Pb1 Pb 0.500 0.500 0.250 1
```

## Properties
Space-group type: P4/mmm (123)
DFT total energy: -6.385 eV per atom

***

Material: K5AgAu
Method: DFT, GGA-PBE
State: optimized geometry

Structure (CIF):
```
data_K5AgAu
_chemical_formula_sum 'K10 Ag2 Au2'
_cell_length_a 7.556
_cell_length_b 7.556
_cell_length_c 11.630
_cell_angle_alpha 93.66
_cell_angle_beta 93.66
_cell_angle_gamma 91.22
_symmetry_space_group_name_H-M 'P 1'
_symmetry_Int_Tables_number 1
loop_
_symmetry_equiv_pos_as_xyz
'x,y,z'
loop_
_atom_site_label
_atom_site_type_symbol
_atom_site_fract_x
_atom_site_fract_y
_atom_site_fract_z
_atom_site_occupancy
K1 K 0.635 0.067 0.341 1
K2 K 0.613 0.757 0.009 1
K3 K 0.387 0.243 0.991 1
K4 K 0.151 0.849 0.250 1
Au1 Au 0.000 0.000 0.000 1
K5 K 0.067 0.635 0.841 1
K6 K 0.849 0.151 0.750 1
Au2 Au 0.000 0.000 0.500 1
K7 K 0.757 0.613 0.509 1
K8 K 0.933 0.365 0.159 1
Ag1 Ag 0.487 0.513 0.250 1
K9 K 0.243 0.387 0.491 1
Ag2 Ag 0.513 0.487 0.750 1
K10 K 0.365 0.933 0.659 1
```

## Properties
Space-group type: C2/c (15)
DFT total energy: -1.697 eV per atom

***

Material: PuInHg2
Method: DFT, GGA-PBE
State: optimized geometry

Structure (CIF):
```
data_PuInHg2
_chemical_formula_sum 'Pu1 In1 Hg2'
_cell_length_a 5.206
_cell_length_b 5.206
_cell_length_c 5.205
_cell_angle_alpha 59.99
_cell_angle_beta 59.99
_cell_angle_gamma 60.00
_symmetry_space_group_name_H-M 'P 1'
_symmetry_Int_Tables_number 1
loop_
_symmetry_equiv_pos_as_xyz
'x,y,z'
loop_
_atom_site_label
_atom_site_type_symbol
_atom_site_fract_x
_atom_site_fract_y
_atom_site_fract_z
_atom_site_occupancy
Pu1 Pu 0.500 0.500 0.500 1
In1 In 0.750 0.750 0.750 1
Hg1 Hg 0.250 0.250 0.250 1
Hg2 Hg 0.000 0.000 0.999 1
```

## Properties
Space-group type: F-43m (216)
DFT total energy: -4.490 eV per atom

***

Material: AlTe2Pt
Method: DFT, GGA-PBE
State: optimized geometry

Structure (CIF):
```
data_AlTe2Pt
_chemical_formula_sum 'Al1 Te2 Pt1'
_cell_length_a 3.828
_cell_length_b 5.823
_cell_length_c 4.118
_cell_angle_alpha 90.00
_cell_angle_beta 90.00
_cell_angle_gamma 90.00
_symmetry_space_group_name_H-M 'P 1'
_symmetry_Int_Tables_number 1
loop_
_symmetry_equiv_pos_as_xyz
'x,y,z'
loop_
_atom_site_label
_atom_site_type_symbol
_atom_site_fract_x
_atom_site_fract_y
_atom_site_fract_z
_atom_site_occupancy
Te1 Te 0.500 0.500 0.000 1
Al1 Al 0.500 0.000 0.500 1
Pt1 Pt 0.000 0.500 0.500 1
Te2 Te 0.000 0.000 0.000 1
```

## Properties
Space-group type: Pmmm (47)
ΔE_f (raw): 75 kJ/mol of formula units

***

Material: LiCa3Tc
Method: DFT, GGA-PBE
State: optimized geometry

Structure (CIF):
```
data_LiCa3Tc
_chemical_formula_sum 'Li1 Ca3 Tc1'
_cell_length_a 5.565
_cell_length_b 5.565
_cell_length_c 5.565
_cell_angle_alpha 90.00
_cell_angle_beta 90.00
_cell_angle_gamma 90.00
_symmetry_space_group_name_H-M 'P 1'
_symmetry_Int_Tables_number 1
loop_
_symmetry_equiv_pos_as_xyz
'x,y,z'
loop_
_atom_site_label
_atom_site_type_symbol
_atom_site_fract_x
_atom_site_fract_y
_atom_site_fract_z
_atom_site_occupancy
Ca1 Ca 0.000 0.000 0.500 1
Li1 Li 0.500 0.500 0.500 1
Ca2 Ca 0.500 0.000 0.000 1
Tc1 Tc 0.000 0.000 0.000 1
Ca3 Ca 0.000 0.500 0.000 1
```

## Properties
Space-group type: Pm-3m (221)
ΔE to the lowest computed polymorph: 0.0 meV per atom

***

Material: CdFeRh2N
Method: DFT, GGA-PBE
State: optimized geometry

Structure (CIF):
```
data_CdFeRh2N
_chemical_formula_sum 'Cd1 Fe1 Rh2 N1'
_cell_length_a 4.187
_cell_length_b 4.187
_cell_length_c 3.830
_cell_angle_alpha 90.00
_cell_angle_beta 90.00
_cell_angle_gamma 90.00
_symmetry_space_group_name_H-M 'P 1'
_symmetry_Int_Tables_number 1
loop_
_symmetry_equiv_pos_as_xyz
'x,y,z'
loop_
_atom_site_label
_atom_site_type_symbol
_atom_site_fract_x
_atom_site_fract_y
_atom_site_fract_z
_atom_site_occupancy
Rh1 Rh 0.500 0.000 0.000 1
Cd1 Cd 0.500 0.500 0.500 1
Rh2 Rh 0.000 0.500 0.000 1
N1 N 0.000 0.000 0.000 1
Fe1 Fe 0.000 0.000 0.500 1
```

## Properties
Space-group type: P4/mmm (123)
ΔE_f (raw): 9 kJ/mol of formula units